Record 1
# PBE-GGA Ac2P3PtRh12, optimized geometry
# Energy of formation: -2.865 eV/f.u.
# Electronic total energy: -6.7538 eV/atom
# Calculated density: 9.85 g/cm3
data_Ac2P3PtRh12
_space_group_name_H-M_alt 'R -3 m'
_space_group_IT_number 166
_space_group_name_Hall '-R 3 2"'
_cell_length_a 8.4628
_cell_length_b 8.4628
_cell_length_c 16.1240
_cell_angle_alpha 90.00
_cell_angle_beta 90.00
_cell_angle_gamma 120.00
loop_
_atom_site_label
_atom_site_type_symbol
_atom_site_fract_x
_atom_site_fract_y
_atom_site_fract_z
_atom_site_occupancy
Ac1 Ac 0.0000 0.0000 0.1086 1
P1 P 0.0000 0.5000 0.0000 1
Pt1 Pt 0.0000 0.0000 0.5000 1
Rh1 Rh 0.0043 0.5021 0.8635 1
Rh2 Rh 0.0570 0.5285 0.3570 1

Record 2
# PBE-GGA ErPtF7, optimized geometry
# Raw formation energy: -23.30 eV per formula unit
# Electronic total energy: -5.2230 eV/atom
# Calculated density: 6.41 g/cm3
data_ErPtF7
_space_group_name_H-M_alt 'P 1 21/c 1'
_space_group_IT_number 14
_space_group_name_Hall '-P 2ybc'
_cell_length_a 8.813
_cell_length_b 5.510
_cell_length_c 11.915
_cell_angle_alpha 90.00
_cell_angle_beta 117.42
_cell_angle_gamma 90.00
loop_
_atom_site_label
_atom_site_type_symbol
_atom_site_fract_x
_atom_site_fract_y
_atom_site_fract_z
_atom_site_occupancy
Er1 Er 0.186 0.239 0.265 1
Pt1 Pt 0.272 0.741 0.043 1
F1 F 0.022 0.746 0.949 1
F2 F 0.030 0.584 0.733 1
F3 F 0.253 0.551 0.176 1
F4 F 0.275 0.036 0.137 1
F5 F 0.277 0.062 0.457 1
F6 F 0.297 0.562 0.415 1
F7 F 0.477 0.225 0.358 1

Record 3
# PBE-GGA LiCdP2Cl, optimized geometry
# Raw formation energy: 2.07 eV per formula unit
# Energy above the most stable polymorph in this dataset: 0.000 eV per formula unit
# Electronic total energy: -2.6850 eV/atom
# Calculated density: 3.66 g/cm3
data_LiCdP2Cl
_space_group_name_H-M_alt 'P 4/m m m'
_space_group_IT_number 123
_space_group_name_Hall '-P 4 2'
_cell_length_a 4.527
_cell_length_b 4.527
_cell_length_c 4.804
_cell_angle_alpha 90.00
_cell_angle_beta 90.00
_cell_angle_gamma 90.00
loop_
_atom_site_label
_atom_site_type_symbol
_atom_site_fract_x
_atom_site_fract_y
_atom_site_fract_z
_atom_site_occupancy
Li1 Li 0.000 0.000 0.000 1
Cd1 Cd 0.500 0.500 0.500 1
P1 P 0.000 0.500 0.000 1
Cl1 Cl 0.000 0.000 0.500 1

Record 4
# PBE-GGA Dy3TaO7, optimized geometry
# Raw formation energy: -37.68 eV per formula unit
# Energy above the most stable polymorph in this dataset: 0.000 eV per formula unit
# Electronic total energy: -8.9129 eV/atom
# Calculated density: 8.65 g/cm3
data_Dy3TaO7
_space_group_name_H-M_alt 'C 2 2 21'
_space_group_IT_number 20
_space_group_name_Hall 'C 2c 2'
_cell_length_a 7.595
_cell_length_b 10.561
_cell_length_c 7.469
_cell_angle_alpha 90.00
_cell_angle_beta 90.00
_cell_angle_gamma 90.00
loop_
_atom_site_label
_atom_site_type_symbol
_atom_site_fract_x
_atom_site_fract_y
_atom_site_fract_z
_atom_site_occupancy
Dy1 Dy 0.039 0.000 0.000 1
Dy2 Dy 0.232 0.268 0.760 1
Ta1 Ta 0.002 0.500 0.000 1
O1 O 0.000 0.129 0.250 1
O2 O 0.000 0.140 0.750 1
O3 O 0.000 0.431 0.750 1
O4 O 0.177 0.371 0.046 1
O5 O 0.206 0.377 0.476 1

Record 5
# PBE-GGA HfZrCd4, optimized geometry
# Energy above the most stable polymorph in this dataset: 0.008 eV per formula unit
# Energy of formation: -0.082 eV/f.u.
# Electronic total energy: -3.7074 eV/atom
# Calculated density: 9.30 g/cm3
data_HfZrCd4
_space_group_name_H-M_alt 'C 1 2/m 1'
_space_group_IT_number 12
_space_group_name_Hall '-C 2y'
_cell_length_a 8.432
_cell_length_b 4.868
_cell_length_c 6.261
_cell_angle_alpha 90.00
_cell_angle_beta 90.12
_cell_angle_gamma 90.00
loop_
_atom_site_label
_atom_site_type_symbol
_atom_site_fract_x
_atom_site_fract_y
_atom_site_fract_z
_atom_site_occupancy
Hf1 Hf 0.000 0.000 0.000 1
Zr1 Zr 0.000 0.000 0.500 1
Cd1 Cd 0.167 0.500 0.249 1
Cd2 Cd 0.167 0.500 0.750 1

Record 6
# PBE-GGA LiDy3Er3Te8, optimized geometry
# Raw formation energy: -19.57 eV per formula unit
# Electronic total energy: -4.9408 eV/atom
# Calculated density: 7.34 g/cm3
data_LiDy3Er3Te8
_space_group_name_H-M_alt 'R -3 m'
_space_group_IT_number 166
_space_group_name_Hall '-R 3 2"'
_cell_length_a 8.6389
_cell_length_b 8.6389
_cell_length_c 21.1806
_cell_angle_alpha 90.00
_cell_angle_beta 90.00
_cell_angle_gamma 120.00
loop_
_atom_site_label
_atom_site_type_symbol
_atom_site_fract_x
_atom_site_fract_y
_atom_site_fract_z
_atom_site_occupancy
Li1 Li 0.0000 0.0000 0.0000 1
Dy1 Dy 0.0000 0.5000 0.5000 1
Er1 Er 0.0000 0.5000 0.0000 1
Te1 Te 0.0000 0.0000 0.2509 1
Te2 Te 0.0007 0.5004 0.2508 1